A plane-wave DFT calculation with GGA-PBE was carried out for an optimized crystal structure of Mg2SiNi.

Properties
Uncorrected formation energy   -197.9 meV per atom
Uncorrected energy   -3.796 eV per atom

```
data_Mg2SiNi
_chemical_formula_sum 'Mg2 Si1 Ni1'
_space_group_name_H-M_alt 'P 1 m 1'
_space_group_IT_number 6
_space_group_name_Hall 'P -2y'
_cell_length_a 3.2744
_cell_length_b 3.9743
_cell_length_c 5.2939
_cell_angle_alpha 90.00
_cell_angle_beta 107.78
_cell_angle_gamma 90.00
loop_
_atom_site_label
_atom_site_type_symbol
_atom_site_fract_x
_atom_site_fract_y
_atom_site_fract_z
Mg1 Mg 0.0000 0.0000 0.0000
Mg2 Mg 0.3189 0.5000 0.6416
Si1 Si 0.7172 0.0000 0.4352
Ni1 Ni 0.6025 0.5000 0.2074
```